The following is a PBE calculation of a geometry-optimized LiMg14Ga structure, from the Alexandria database.

As for the energy relative to the elements: -0.027 eV per atom. For the excess energy over the best structure of this formula in the dataset, the calculation gives 0.000 eV per atom.

It has space group Amm2 (No. 38), with a = 10.267 Å, b = 6.299 Å, c = 10.916 Å, α = 90.00°, β = 90.00° and γ = 90.00°. Symmetry generates all atoms from Li at (0.000, 0.000, 0.000), Mg at (0.000, 0.248, 0.246), Mg at (0.242, 0.250, 0.417), Mg at (0.246, 0.000, 0.665), Mg at (0.251, 0.000, 0.165), Mg at (0.500, 0.000, 0.499), Mg at (0.500, 0.000, 0.998), Mg at (0.500, 0.249, 0.750) and Ga at (0.000, 0.000, 0.498).


The following is a PBE calculation of a geometry-optimized NdYLu2 structure, from the Alexandria database.

As for the energy relative to the elements: 0.094 eV per atom. For the excess energy over the best structure of this formula in the dataset, the calculation gives 0.062 eV per atom.

It has space group Fm-3m (No. 225), with a = 7.987 Å, b = 7.987 Å, c = 7.987 Å, α = 90.00°, β = 90.00° and γ = 90.00°. Symmetry generates all atoms from Nd at (0.000, 0.000, 0.000), Y at (0.000, 0.000, 0.500) and Lu at (0.250, 0.250, 0.250).